PbSe2Br | PBE | optimized geometry

a = 5.7916 Å, b = 4.4454 Å, c = 5.1271 Å
α = 77.70°, β = 90.00°, γ = 90.00°
Sites, in units of the cell vectors:
Br  0.5000  0.2500  0.2500
Pb  0.5000  0.7500  0.7500
Se  0.0000  0.9528  0.8745
Se  0.0000  0.5472  0.6255

* SG: P2/m, No. 10
* spin magnetization: 0.0000 μB per atom
* distance to the lowest polymorph of the same formula: 0.0 meV/atom
* ΔE_f (raw): -0.336 eV per atom
* crystal system: monoclinic

AlAg2Os | PBE | optimized geometry

a = 2.7596 Å, b = 2.7596 Å, c = 8.4543 Å
α = 90.00°, β = 90.00°, γ = 90.00°
Each line ends with the local moment (μB).
Sites, in units of the cell vectors:
Os  0.5000  0.5000  0.7500  -0.36
Al  0.5000  0.5000  0.2500  0.00
Ag  0.0000  0.0000  0.0082  -0.01
Ag  0.0000  0.0000  0.4918  -0.01

* SG: P4/mmm, No. 123
* energy relative to the elements: 492 meV/atom
* spin magnetization: 0.1010 μB per atom
* crystal system: tetragonal

K3TmF6 | PBE | optimized geometry

a = 6.5902 Å, b = 6.5902 Å, c = 6.5902 Å
α = 60.00°, β = 60.00°, γ = 60.00°
Sites, in units of the cell vectors:
K  0.5000  0.5000  0.5000
K  0.2500  0.2500  0.2500
K  0.7500  0.7500  0.7500
Tm  0.0000  0.0000  0.0000
F  0.2291  0.7709  0.7709
F  0.7709  0.2291  0.7709
F  0.2291  0.7709  0.2291
F  0.7709  0.7709  0.2291
F  0.7709  0.2291  0.2291
F  0.2291  0.2291  0.7709

* SG: Fm-3m, No. 225
* spin magnetization: 0.0000 μB per atom
* ΔE_f (raw): -3.320 eV per atom
* crystal system: cubic

Sm2HoScBi5 | PBE | optimized geometry

a = 5.4599 Å, b = 5.4599 Å, c = 11.5254 Å
α = 90.00°, β = 90.00°, γ = 90.00°
Sites, in units of the cell vectors:
Sm  0.5000  0.5000  0.2791
Sm  0.5000  0.5000  0.7209
Ho  0.0000  0.0000  0.5000
Sc  0.0000  0.0000  0.0000
Bi  0.0000  0.5000  0.5000
Bi  0.5000  0.0000  0.5000
Bi  0.0000  0.0000  0.7605
Bi  0.0000  0.0000  0.2395
Bi  0.5000  0.5000  0.0000

* SG: P4/mmm, No. 123
* energy relative to the elements: -31 meV/atom
* spin magnetization: 0.0000 μB per atom
* crystal system: tetragonal

MnGeAs | PBE | optimized geometry

a = 5.8353 Å, b = 6.5901 Å, c = 6.5907 Å
α = 124.98°, β = 90.00°, γ = 90.00°
Sites, in units of the cell vectors:
As  0.2848  0.8912  0.6044
As  0.7152  0.1088  0.3956
As  0.2152  0.8912  0.1044
As  0.7848  0.1088  0.8956
Ge  0.2821  0.3922  0.1127
Ge  0.7179  0.6078  0.8873
Ge  0.7821  0.6078  0.3873
Ge  0.2179  0.3922  0.6127
Mn  0.0052  0.7586  0.7521
Mn  0.4948  0.7586  0.2521
Mn  0.9948  0.2414  0.2479
Mn  0.5052  0.2414  0.7479

* SG: P2_1/c, No. 14
* energy relative to the elements: -57 meV/atom
* spin magnetization: 0.0000 μB per atom
* distance to the lowest polymorph of the same formula: 0.0 meV/atom
* crystal system: monoclinic

Tl2IrCl | PBE | optimized geometry

a = 9.8024 Å, b = 9.8024 Å, c = 9.8024 Å
α = 19.71°, β = 19.71°, γ = 19.71°
Each line ends with the local moment (μB).
Sites, in units of the cell vectors:
Tl  0.0155  0.0155  0.0155  0.00
Tl  0.2471  0.2471  0.2471  0.00
Ir  0.7548  0.7548  0.7548  0.62
Cl  0.4826  0.4826  0.4826  0.09

* SG: R3m, No. 160
* spin magnetization: 0.1848 μB per atom
* distance to the lowest polymorph of the same formula: 337.7 meV/atom
* ΔE_f (raw): 0.420 eV per atom
* crystal system: trigonal

LaY4Ho | PBE | optimized geometry

a = 3.5813 Å, b = 5.6072 Å, c = 10.5129 Å
α = 90.00°, β = 70.13°, γ = 90.00°
Sites, in units of the cell vectors:
La  0.7394  0.0013  0.5112
Y  0.0953  0.5013  0.6552
Y  0.9423  0.5013  0.3063
Y  0.5653  0.0013  0.1838
Y  0.3905  0.0013  0.8580
Ho  0.7509  0.5013  0.9966

* SG: Pm, No. 6
* energy relative to the elements: 43 meV/atom
* spin magnetization: 0.0000 μB per atom
* distance to the lowest polymorph of the same formula: 0.0 meV/atom
* crystal system: monoclinic

MgCdAg4 | PBE | optimized geometry

a = 3.7583 Å, b = 3.1695 Å, c = 9.3620 Å
α = 90.00°, β = 90.00°, γ = 90.00°
Sites, in units of the cell vectors:
Mg  0.5000  0.5000  0.5000
Cd  0.0000  0.0000  0.0000
Ag  0.0000  0.0000  0.6610
Ag  0.5000  0.5000  0.8276
Ag  0.5000  0.5000  0.1724
Ag  0.0000  0.0000  0.3390

* SG: Pmmm, No. 47
* energy relative to the elements: -97 meV/atom
* spin magnetization: 0.0000 μB per atom
* distance to the lowest polymorph of the same formula: 10.6 meV/atom
* crystal system: orthorhombic